[1]
DFT (PBE) results for a relaxed structure of AcSiPd.

Cell lengths 6.804, 6.804, 6.804 Å; angles 90.00, 90.00, 90.00 degrees
Space group F-43m (No. 216)
Inequivalent atoms, fractional coordinates:
Ac 0.000 0.000 0.000 x4
Si 0.250 0.250 0.250 x4
Pd 0.000 0.000 0.500 x4

Values from the calculation:
Volume (Å³/f.u.): 78.8
Crystal system: cubic
DFT total energy (eV/atom): -5.20

=====

[2]
DFT (PBE) results for a relaxed structure of AcSi2Pd2.

Cell lengths 4.406, 4.406, 9.974 Å; angles 90.00, 90.00, 90.00 degrees
Space group I4/mmm (No. 139)
Inequivalent atoms, fractional coordinates:
Ac 0.000 0.000 0.000 x2
Si 0.000 0.000 0.377 x4
Pd 0.000 0.500 0.250 x4

Values from the calculation:
Volume (Å³/f.u.): 96.8
Crystal system: tetragonal
DFT total energy (eV/atom): -5.93

=====

[3]
DFT (PBE) results for a relaxed structure of AcSn2Pd2.

Cell lengths 4.753, 4.753, 10.737 Å; angles 90.00, 90.00, 90.00 degrees
Space group I4/mmm (No. 139)
Inequivalent atoms, fractional coordinates:
Ac 0.000 0.000 0.000 x2
Sn 0.000 0.000 0.366 x4
Pd 0.000 0.500 0.250 x4

Values from the calculation:
Volume (Å³/f.u.): 121.3
Crystal system: tetragonal
DFT total energy (eV/atom): -5.28

=====

[4]
DFT (PBE) results for a relaxed structure of AcSn2Pd2.

Cell lengths 4.612, 4.612, 11.346 Å; angles 90.00, 90.00, 90.00 degrees
Space group I4/mmm (No. 139)
Inequivalent atoms, fractional coordinates:
Ac 0.000 0.000 0.000 x2
Sn 0.000 0.500 0.250 x4
Pd 0.000 0.000 0.379 x4

Values from the calculation:
Volume (Å³/f.u.): 120.7
Crystal system: tetragonal
DFT total energy (eV/atom): -5.22

=====

[5]
DFT (PBE) results for a relaxed structure of AcSn2Pd.

Cell lengths 4.666, 4.732, 9.991 Å; angles 90.00, 103.07, 90.00 degrees
Space group P2_1/m (No. 11)
Inequivalent atoms, fractional coordinates:
Ac 0.122 0.250 0.219 x2
Sn 0.245 0.750 0.502 x2
Sn 0.424 0.250 0.917 x2
Pd 0.328 0.250 0.646 x2

Values from the calculation:
Volume (Å³/f.u.): 107.4
Crystal system: monoclinic
DFT total energy (eV/atom): -5.11

=====

[6]
DFT (PBE) results for a relaxed structure of Ac2SnPd2.

Cell lengths 8.036, 8.036, 4.189 Å; angles 90.00, 90.00, 90.00 degrees
Space group P4/mbm (No. 127)
Inequivalent atoms, fractional coordinates:
Ac 0.178 0.322 0.000 x4
Sn 0.000 0.000 0.500 x2
Pd 0.126 0.626 0.500 x4

Values from the calculation:
Volume (Å³/f.u.): 135.2
Crystal system: tetragonal
DFT total energy (eV/atom): -5.38

=====

- Which formula does entry 2 have?
  AcSi2Pd2

=====

- What is the DFT total energy in the first record?
  -5.20 eV/atom

=====

- Which value of volume does entry 3 give?
  121.3 Å³/f.u.

=====

- Among the records above, which one has the highest DFT total energy?
  AcSn2Pd